[1]
An optimized crystal structure of Ba2CdAg3Hg12. Source: Alexandria via LeMat-Bulk, functional GGA-PBE.

Computed properties:
- symmetry = R-3m
- total magnetic moment (μB/f.u.) = 0.00
- formation energy from the elements (eV per formula unit) = -0.4
- V (Å³/atom) = 33.18

Cell lengths 8.849, 8.849, 8.849 Å; angles 70.64, 70.64, 70.64 degrees
Fractional coordinates of all 18 atoms:
Hg: 0.838 0.310 0.310
Hg: 0.310 0.838 0.310
Hg: 0.146 0.636 0.146
Hg: 0.146 0.146 0.636
Hg: 0.690 0.690 0.162
Hg: 0.690 0.162 0.690
Hg: 0.310 0.310 0.838
Hg: 0.854 0.854 0.364
Hg: 0.162 0.690 0.690
Hg: 0.854 0.364 0.854
Hg: 0.636 0.146 0.146
Hg: 0.364 0.854 0.854
Ba: 0.394 0.394 0.394
Ba: 0.606 0.606 0.606
Ag: 0.000 0.000 0.500
Ag: 0.000 0.500 0.000
Ag: 0.500 0.000 0.000
Cd: 0.000 0.000 0.000



[2]
An optimized crystal structure of BaCdAgHg. Source: Alexandria via LeMat-Bulk, functional GGA-PBE.

Computed properties:
- symmetry = F-43m
- total magnetic moment (μB/f.u.) = 0.00
- formation energy from the elements (eV per formula unit) = -0.9
- V (Å³/atom) = 28.80
- E above lowest polymorph (meV per atom) = 77

Cell lengths 5.462, 5.462, 5.462 Å; angles 60.00, 60.00, 60.00 degrees
Fractional coordinates of all 4 atoms:
Ag: 0.750 0.750 0.750
Cd: 0.000 0.000 0.000
Ba: 0.500 0.500 0.500
Hg: 0.250 0.250 0.250



[3]
An optimized crystal structure of BaCdAg2Hg2. Source: Alexandria via LeMat-Bulk, functional GGA-PBE.

Computed properties:
- symmetry = P-3m1
- total magnetic moment (μB/f.u.) = 0.00
- formation energy from the elements (eV per formula unit) = -1.4
- V (Å³/atom) = 26.66

Cell lengths 4.913, 4.913, 7.652 Å; angles 90.00, 90.00, 120.00 degrees
Fractional coordinates of all 6 atoms:
Cd: 0.000 0.000 0.500
Hg: 0.333 0.667 0.278
Hg: 0.667 0.333 0.722
Ba: 0.000 0.000 0.000
Ag: 0.667 0.333 0.327
Ag: 0.333 0.667 0.673



[4]
An optimized crystal structure of BaCd2AgHg4. Source: Alexandria via LeMat-Bulk, functional GGA-PBE.

Computed properties:
- symmetry = R-3m
- total magnetic moment (μB/f.u.) = 0.00
- formation energy from the elements (eV per formula unit) = -1.4
- V (Å³/atom) = 26.57

Cell lengths 4.973, 4.973, 10.331 Å; angles 76.07, 76.07, 60.00 degrees
Fractional coordinates of all 8 atoms:
Ba: 0.000 0.000 0.000
Cd: 0.761 0.761 0.717
Cd: 0.239 0.239 0.283
Hg: 0.398 0.398 0.807
Hg: 0.133 0.133 0.601
Hg: 0.602 0.602 0.193
Hg: 0.867 0.867 0.399
Ag: 0.500 0.500 0.500



[5]
An optimized crystal structure of Ba2HoCd12Ag3. Source: Alexandria via LeMat-Bulk, functional GGA-PBE.

Computed properties:
- symmetry = R-3m
- total magnetic moment (μB/f.u.) = 0.00
- formation energy from the elements (eV per formula unit) = 0.9
- V (Å³/atom) = 30.85

Cell lengths 10.120, 10.120, 10.120 Å; angles 49.75, 49.75, 49.75 degrees
Fractional coordinates of all 18 atoms:
Cd: 0.483 0.842 0.842
Cd: 0.842 0.842 0.483
Cd: 0.224 0.224 0.862
Cd: 0.224 0.862 0.224
Cd: 0.138 0.776 0.776
Cd: 0.158 0.158 0.517
Cd: 0.842 0.483 0.842
Cd: 0.862 0.224 0.224
Cd: 0.158 0.517 0.158
Cd: 0.776 0.776 0.138
Cd: 0.517 0.158 0.158
Cd: 0.776 0.138 0.776
Ba: 0.391 0.391 0.391
Ba: 0.609 0.609 0.609
Ho: 0.000 0.000 0.000
Ag: 0.000 0.500 0.000
Ag: 0.500 0.000 0.000
Ag: 0.000 0.000 0.500



[6]
An optimized crystal structure of BaCd4In2Ag. Source: Alexandria via LeMat-Bulk, functional GGA-PBE.

Computed properties:
- symmetry = R-3m
- total magnetic moment (μB/f.u.) = 0.00
- formation energy from the elements (eV per formula unit) = -1.2
- V (Å³/atom) = 26.77

Cell lengths 4.979, 4.979, 10.379 Å; angles 76.12, 76.12, 60.00 degrees
Fractional coordinates of all 8 atoms:
In: 0.753 0.753 0.742
In: 0.247 0.247 0.258
Ba: 0.000 0.000 0.000
Ag: 0.500 0.500 0.500
Cd: 0.138 0.138 0.586
Cd: 0.596 0.596 0.211
Cd: 0.404 0.404 0.789
Cd: 0.862 0.862 0.414



[7]
An optimized crystal structure of Ba2Cd3InAg4. Source: Alexandria via LeMat-Bulk, functional GGA-PBE.

Computed properties:
- symmetry = P-4m2
- total magnetic moment (μB/f.u.) = 0.00
- formation energy from the elements (eV per formula unit) = -2.4
- V (Å³/atom) = 27.73

Cell lengths 4.988, 4.988, 11.141 Å; angles 90.00, 90.00, 90.00 degrees
Fractional coordinates of all 10 atoms:
Ag: 0.000 0.000 0.000
Ag: 0.000 0.500 0.373
Ag: 0.500 0.500 0.000
Ag: 0.500 0.000 0.627
In: 0.500 0.500 0.500
Cd: 0.000 0.000 0.500
Cd: 0.500 0.000 0.877
Cd: 0.000 0.500 0.123
Ba: 0.000 0.500 0.756
Ba: 0.500 0.000 0.244



[8]
An optimized crystal structure of BaCd4InAg2. Source: Alexandria via LeMat-Bulk, functional GGA-PBE.

Computed properties:
- symmetry = R-3m
- total magnetic moment (μB/f.u.) = 0.00
- formation energy from the elements (eV per formula unit) = -0.8
- V (Å³/atom) = 26.53

Cell lengths 4.829, 4.829, 10.875 Å; angles 77.17, 77.17, 60.00 degrees
Fractional coordinates of all 8 atoms:
In: 0.500 0.500 0.500
Ag: 0.242 0.242 0.274
Ag: 0.758 0.758 0.726
Cd: 0.877 0.877 0.369
Cd: 0.403 0.403 0.790
Cd: 0.597 0.597 0.210
Cd: 0.123 0.123 0.631
Ba: 0.000 0.000 0.000



[9]
An optimized crystal structure of Ba2CdInAg6. Source: Alexandria via LeMat-Bulk, functional GGA-PBE.

Computed properties:
- symmetry = C2/m
- total magnetic moment (μB/f.u.) = 0.00
- formation energy from the elements (eV per formula unit) = -1.7
- V (Å³/atom) = 28.06

Cell lengths 5.911, 9.527, 7.504 Å; angles 50.54, 66.80, 90.00 degrees
Fractional coordinates of all 10 atoms:
Ba: 0.249 0.703 0.502
Ba: 0.751 0.297 0.498
In: 0.500 0.500 0.000
Ag: 0.229 0.232 0.039
Ag: 0.771 0.768 0.961
Ag: 0.751 0.914 0.498
Ag: 0.249 0.086 0.502
Ag: 0.732 0.232 0.039
Ag: 0.268 0.768 0.961
Cd: 0.000 0.000 0.000



[10]
An optimized crystal structure of BaCdIn4Ag2. Source: Alexandria via LeMat-Bulk, functional GGA-PBE.

Computed properties:
- symmetry = R-3m
- total magnetic moment (μB/f.u.) = 0.00
- formation energy from the elements (eV per formula unit) = -1.2
- V (Å³/atom) = 27.13

Cell lengths 4.895, 4.895, 10.834 Å; angles 76.94, 76.94, 60.00 degrees
Fractional coordinates of all 8 atoms:
Ag: 0.758 0.758 0.725
Ag: 0.242 0.242 0.275
In: 0.402 0.402 0.793
In: 0.875 0.875 0.375
In: 0.125 0.125 0.625
In: 0.598 0.598 0.207
Ba: 0.000 0.000 0.000
Cd: 0.500 0.500 0.500



[11]
An optimized crystal structure of Ba2Cd4InAg3. Source: Alexandria via LeMat-Bulk, functional GGA-PBE.

Computed properties:
- symmetry = P-4m2
- total magnetic moment (μB/f.u.) = 0.00
- formation energy from the elements (eV per formula unit) = -2.4
- V (Å³/atom) = 27.82

Cell lengths 4.642, 4.642, 12.912 Å; angles 90.00, 90.00, 90.00 degrees
Fractional coordinates of all 10 atoms:
Ba: 0.500 0.000 0.246
Ba: 0.000 0.500 0.754
Ag: 0.000 0.000 0.500
Ag: 0.500 0.000 0.862
Ag: 0.000 0.500 0.138
Cd: 0.500 0.500 0.000
Cd: 0.000 0.000 0.000
Cd: 0.000 0.500 0.359
Cd: 0.500 0.000 0.641
In: 0.500 0.500 0.500



[12]
An optimized crystal structure of BaCdIn2Ag2. Source: Alexandria via LeMat-Bulk, functional GGA-PBE.

Computed properties:
- symmetry = P-3m1
- total magnetic moment (μB/f.u.) = 0.00
- formation energy from the elements (eV per formula unit) = -1.3
- V (Å³/atom) = 27.10

Cell lengths 4.838, 4.838, 8.022 Å; angles 90.00, 90.00, 120.00 degrees
Fractional coordinates of all 6 atoms:
Cd: 0.000 0.000 0.500
In: 0.667 0.333 0.716
In: 0.333 0.667 0.284
Ag: 0.667 0.333 0.343
Ag: 0.333 0.667 0.657
Ba: 0.000 0.000 0.000



[13]
An optimized crystal structure of BaCd2In4Ag. Source: Alexandria via LeMat-Bulk, functional GGA-PBE.

Computed properties:
- symmetry = R-3m
- total magnetic moment (μB/f.u.) = 0.00
- formation energy from the elements (eV per formula unit) = -1.2
- V (Å³/atom) = 27.80

Cell lengths 5.016, 5.016, 10.609 Å; angles 76.32, 76.32, 60.00 degrees
Fractional coordinates of all 8 atoms:
In: 0.865 0.865 0.406
In: 0.404 0.404 0.789
In: 0.596 0.596 0.211
In: 0.135 0.135 0.594
Ag: 0.500 0.500 0.500
Ba: 0.000 0.000 0.000
Cd: 0.750 0.750 0.750
Cd: 0.250 0.250 0.250



[14]
An optimized crystal structure of Ba2CdInAg. Source: Alexandria via LeMat-Bulk, functional GGA-PBE.

Computed properties:
- symmetry = P4/mmm
- total magnetic moment (μB/f.u.) = 0.00
- formation energy from the elements (eV per formula unit) = 0.3
- V (Å³/atom) = 47.13

Cell lengths 6.702, 5.246, 6.702 Å; angles 90.00, 90.00, 90.00 degrees
Fractional coordinates of all 5 atoms:
Ba: 0.500 0.000 0.000
Ba: 0.000 0.000 0.500
In: 0.000 0.000 0.000
Cd: 0.000 0.500 0.000
Ag: 0.500 0.500 0.500



[15]
An optimized crystal structure of Ba8CdAg2Ir. Source: Alexandria via LeMat-Bulk, functional GGA-PBE.

Computed properties:
- symmetry = P2/m
- total magnetic moment (μB/f.u.) = 0.00
- formation energy from the elements (eV per formula unit) = -1.9
- V (Å³/atom) = 51.04

Cell lengths 7.973, 7.722, 9.950 Å; angles 90.00, 90.00, 89.54 degrees
Fractional coordinates of all 12 atoms:
Ba: 0.310 0.245 0.000
Ba: 0.690 0.755 0.000
Ba: 0.340 0.271 0.500
Ba: 0.163 0.775 0.221
Ba: 0.660 0.729 0.500
Ba: 0.163 0.775 0.779
Ba: 0.837 0.225 0.221
Ba: 0.837 0.225 0.779
Ag: 0.500 0.500 0.241
Ag: 0.500 0.500 0.759
Cd: 0.000 0.000 0.500
Ir: 0.000 0.000 0.000



[16]
An optimized crystal structure of Ba2CdAgIr. Source: Alexandria via LeMat-Bulk, functional GGA-PBE.

Computed properties:
- symmetry = P4/mmm
- total magnetic moment (μB/f.u.) = 0.00
- formation energy from the elements (eV per formula unit) = -0.3
- V (Å³/atom) = 37.88

Cell lengths 6.014, 6.014, 5.235 Å; angles 90.00, 90.00, 90.00 degrees
Fractional coordinates of all 5 atoms:
Ag: 0.500 0.500 0.500
Cd: 0.000 0.000 0.500
Ba: 0.500 0.000 0.000
Ba: 0.000 0.500 0.000
Ir: 0.000 0.000 0.000



[17]
An optimized crystal structure of BaCdAg2Ir. Source: Alexandria via LeMat-Bulk, functional GGA-PBE.

Computed properties:
- symmetry = P4/mmm
- total magnetic moment (μB/f.u.) = 0.00
- formation energy from the elements (eV per formula unit) = 0.7
- V (Å³/atom) = 28.43

Cell lengths 5.255, 5.148, 5.255 Å; angles 90.00, 90.00, 90.00 degrees
Fractional coordinates of all 5 atoms:
Ag: 0.500 0.000 0.000
Ag: 0.000 0.000 0.500
Cd: 0.000 0.500 0.000
Ir: 0.000 0.000 0.000
Ba: 0.500 0.500 0.500



[18]
An optimized crystal structure of KBa2Cd12Ag3. Source: Alexandria via LeMat-Bulk, functional GGA-PBE.

Computed properties:
- symmetry = R-3m
- total magnetic moment (μB/f.u.) = 0.00
- formation energy from the elements (eV per formula unit) = 1.2
- V (Å³/atom) = 35.68

Cell lengths 9.653, 9.653, 9.653 Å; angles 60.44, 60.44, 60.44 degrees
Fractional coordinates of all 18 atoms:
Ag: 0.500 0.000 0.000
Ag: 0.000 0.000 0.500
Ag: 0.000 0.500 0.000
K: 0.000 0.000 0.000
Cd: 0.491 0.171 0.171
Cd: 0.325 0.325 0.849
Cd: 0.675 0.151 0.675
Cd: 0.849 0.325 0.325
Cd: 0.171 0.171 0.491
Cd: 0.829 0.509 0.829
Cd: 0.325 0.849 0.325
Cd: 0.675 0.675 0.151
Cd: 0.151 0.675 0.675
Cd: 0.509 0.829 0.829
Cd: 0.171 0.491 0.171
Cd: 0.829 0.829 0.509
Ba: 0.407 0.407 0.407
Ba: 0.593 0.593 0.593



[19]
An optimized crystal structure of KBa2CdAg. Source: Alexandria via LeMat-Bulk, functional GGA-PBE.

Computed properties:
- symmetry = P4/mmm
- total magnetic moment (μB/f.u.) = 0.00
- formation energy from the elements (eV per formula unit) = -0.2
- V (Å³/atom) = 47.55

Cell lengths 6.561, 6.561, 5.524 Å; angles 90.00, 90.00, 90.00 degrees
Fractional coordinates of all 5 atoms:
Ba: 0.500 0.000 0.000
Ba: 0.000 0.500 0.000
Cd: 0.000 0.000 0.500
K: 0.500 0.500 0.500
Ag: 0.000 0.000 0.000



[20]
An optimized crystal structure of KBaCdAg. Source: Alexandria via LeMat-Bulk, functional GGA-PBE.

Computed properties:
- symmetry = F-43m
- total magnetic moment (μB/f.u.) = 0.00
- formation energy from the elements (eV per formula unit) = -0.3
- V (Å³/atom) = 36.36

Cell lengths 5.903, 5.903, 5.903 Å; angles 60.00, 60.00, 60.00 degrees
Fractional coordinates of all 4 atoms:
K: 0.000 0.000 0.000
Cd: 0.750 0.750 0.750
Ba: 0.500 0.500 0.500
Ag: 0.250 0.250 0.250



[21]
An optimized crystal structure of KBaCd2Ag. Source: Alexandria via LeMat-Bulk, functional GGA-PBE.

Computed properties:
- symmetry = P4/mmm
- total magnetic moment (μB/f.u.) = 0.00
- formation energy from the elements (eV per formula unit) = 0.0
- V (Å³/atom) = 37.84

Cell lengths 5.606, 5.606, 6.021 Å; angles 90.00, 90.00, 90.00 degrees
Fractional coordinates of all 5 atoms:
Ba: 0.000 0.000 0.500
K: 0.500 0.500 0.500
Ag: 0.000 0.000 0.000
Cd: 0.000 0.500 0.000
Cd: 0.500 0.000 0.000



[22]
An optimized crystal structure of Ba2LaCd12Ag3. Source: Alexandria via LeMat-Bulk, functional GGA-PBE.

Computed properties:
- symmetry = R-3m
- total magnetic moment (μB/f.u.) = 0.00
- formation energy from the elements (eV per formula unit) = 0.3
- V (Å³/atom) = 31.80

Cell lengths 10.554, 10.554, 10.554 Å; angles 46.88, 46.88, 46.88 degrees
Fractional coordinates of all 18 atoms:
Cd: 0.152 0.152 0.509
Cd: 0.509 0.152 0.152
Cd: 0.147 0.768 0.768
Cd: 0.848 0.491 0.848
Cd: 0.768 0.768 0.147
Cd: 0.491 0.848 0.848
Cd: 0.768 0.147 0.768
Cd: 0.853 0.232 0.232
Cd: 0.152 0.509 0.152
Cd: 0.232 0.853 0.232
Cd: 0.848 0.848 0.491
Cd: 0.232 0.232 0.853
Ag: 0.500 0.000 0.000
Ag: 0.000 0.500 0.000
Ag: 0.000 0.000 0.500
La: 0.000 0.000 0.000
Ba: 0.621 0.621 0.621
Ba: 0.379 0.379 0.379



[23]
An optimized crystal structure of Ba2Li3CdAg4. Source: Alexandria via LeMat-Bulk, functional GGA-PBE.

Computed properties:
- symmetry = P-4m2
- total magnetic moment (μB/f.u.) = 0.00
- formation energy from the elements (eV per formula unit) = -2.1
- V (Å³/atom) = 25.70

Cell lengths 4.816, 4.816, 11.077 Å; angles 90.00, 90.00, 90.00 degrees
Fractional coordinates of all 10 atoms:
Ag: 0.000 0.000 0.000
Ag: 0.500 0.500 0.000
Ag: 0.500 0.000 0.640
Ag: 0.000 0.500 0.360
Li: 0.000 0.500 0.108
Li: 0.500 0.000 0.892
Li: 0.000 0.000 0.500
Cd: 0.500 0.500 0.500
Ba: 0.000 0.500 0.757
Ba: 0.500 0.000 0.243